[1]
# TaSbAsI2

A relaxed TaSbAsI2 crystal (PBE, the Alexandria database).

Output
Distance to the lowest polymorph of the same formula, meV/atom: 0
Total magnetization, μB/cell: 2.3

Unit cell a=5.437 b=5.437 c=5.625 alpha=90.00 beta=90.00 gamma=90.00
Space group P4/mmm (No. 123)
Inequivalent atoms, fractional coordinates:
Ta (0.000, 0.000, 0.000) (multiplicity 1)
Sb (0.000, 0.000, 0.500) (multiplicity 1)
As (0.500, 0.500, 0.500) (multiplicity 1)
I (0.000, 0.500, 0.000) (multiplicity 2)



[2]
# TcSb2AsI

A relaxed TcSb2AsI crystal (PBE, the Alexandria database).

Output
Distance to the lowest polymorph of the same formula, meV/atom: 0
Total magnetization, μB/cell: 0.0

Unit cell a=5.048 b=5.048 c=5.664 alpha=90.00 beta=90.00 gamma=90.00
Space group P4/mmm (No. 123)
Inequivalent atoms, fractional coordinates:
Tc (0.000, 0.000, 0.000) (multiplicity 1)
Sb (0.000, 0.500, 0.000) (multiplicity 2)
As (0.500, 0.500, 0.500) (multiplicity 1)
I (0.000, 0.000, 0.500) (multiplicity 1)



Record order is preserved below.
Formation energy without anion corrections: 0.716; 0.721 eV/atom